# 1
Crystalline VO at its relaxed geometry, computed with PBE with a Hubbard U.

a b c (Å): 3.191 4.768 10.015
angles (deg): 90.00 90.00 90.00
Atoms (fractional coordinates):
V  0.000  0.705  0.500
O  0.000  0.987  0.644
V  0.000  0.746  0.819
O  0.500  0.013  0.144
V  0.500  0.295  0.000
O  0.500  0.013  0.856
O  0.000  0.545  0.000
V  0.000  0.746  0.181
O  0.500  0.455  0.500
V  0.500  0.254  0.319
V  0.500  0.254  0.681
O  0.000  0.987  0.356

---

# 2
Crystalline V4O9 at its relaxed geometry, computed with PBE with a Hubbard U.

a b c (Å): 8.520 8.520 4.735
angles (deg): 90.00 90.00 90.00
Atoms (fractional coordinates):
V  0.785  0.096  0.625
V  0.404  0.285  0.625
V  0.285  0.596  0.375
V  0.904  0.785  0.375
O  0.500  0.500  0.500
O  0.605  0.213  0.502
V  0.596  0.715  0.625
O  0.414  0.276  0.965
V  0.215  0.904  0.625
O  0.287  0.105  0.502
O  0.276  0.586  0.035
O  0.895  0.287  0.498
O  0.395  0.787  0.502
O  0.000  0.000  0.500
O  0.776  0.086  0.965
O  0.224  0.914  0.965
O  0.724  0.414  0.035
O  0.787  0.605  0.498
O  0.213  0.395  0.498
V  0.096  0.215  0.375
O  0.586  0.724  0.965
O  0.105  0.713  0.498
O  0.086  0.224  0.035
O  0.914  0.776  0.035
O  0.713  0.895  0.502
V  0.715  0.404  0.375

The calculation puts the excess energy over the best structure of this formula in the dataset at 93.5 meV/atom.

---

# 3
Crystalline VO at its relaxed geometry, computed with PBE with a Hubbard U.

a b c (Å): 4.708 4.708 4.708
angles (deg): 90.00 90.00 90.00
Atoms (fractional coordinates):
O  0.750  0.250  0.750
V  0.500  0.000  0.500
V  0.500  0.500  0.000
O  0.250  0.750  0.750
V  0.000  0.000  0.000
O  0.250  0.250  0.250
V  0.000  0.500  0.500
O  0.750  0.750  0.250

---

# 4
Crystalline VO at its relaxed geometry, computed with PBE with a Hubbard U.

a b c (Å): 5.855 5.855 5.855
angles (deg): 90.00 90.00 90.00
Atoms (fractional coordinates):
V  0.000  0.500  0.250
V  0.500  0.250  0.000
O  0.750  0.500  0.000
O  0.250  0.500  0.000
V  0.500  0.750  0.000
O  0.500  0.000  0.250
O  0.000  0.750  0.500
O  0.000  0.250  0.500
O  0.500  0.000  0.750
V  0.750  0.000  0.500
V  0.250  0.000  0.500
V  0.000  0.500  0.750

---

# 5
Crystalline V9O20 at its relaxed geometry, computed with PBE with a Hubbard U.

a b c (Å): 6.275 6.723 8.678
angles (deg): 87.43 90.23 100.79
Atoms (fractional coordinates):
O  0.080  0.531  0.179
O  0.312  0.619  0.585
O  0.388  0.606  0.895
O  0.574  0.930  0.422
O  0.914  0.073  0.227
V  0.015  0.083  0.816
V  0.370  0.453  0.111
O  0.675  0.751  0.408
V  0.940  0.797  0.167
O  0.467  0.828  0.892
O  0.939  0.292  0.500
V  0.810  0.305  0.153
V  0.546  0.476  0.533
O  0.179  0.254  0.980
O  0.976  0.846  0.942
O  0.199  0.068  0.631
V  0.461  0.898  0.645
O  0.427  0.189  0.642
O  0.087  0.803  0.372
O  0.960  0.302  0.942
O  0.775  0.926  0.688
V  0.711  0.678  0.864
O  0.693  0.590  0.088
V  0.904  0.986  0.459
O  0.368  0.431  0.342
O  0.542  0.222  0.111
O  0.796  0.392  0.395
V  0.131  0.535  0.409
O  0.733  0.513  0.716

---

# 6
Crystalline VO4 at its relaxed geometry, computed with PBE with a Hubbard U.

a b c (Å): 3.756 3.756 3.756
angles (deg): 90.00 90.00 90.00
Atoms (fractional coordinates):
O  0.000  0.500  0.500
O  0.000  0.000  0.000
O  0.500  0.000  0.500
V  0.500  0.500  0.500
O  0.500  0.500  0.000

---

# 7
Crystalline V3O10 at its relaxed geometry, computed with PBE with a Hubbard U.

a b c (Å): 8.997 8.997 5.093
angles (deg): 90.00 90.00 90.00
Atoms (fractional coordinates):
O  0.782  0.282  0.729
O  0.282  0.218  0.729
O  0.186  0.914  0.158
O  0.814  0.086  0.158
O  0.914  0.814  0.158
O  0.586  0.314  0.158
O  0.635  0.135  0.596
O  0.414  0.686  0.158
V  0.000  0.000  0.248
O  0.865  0.635  0.596
O  0.000  0.000  0.564
O  0.218  0.718  0.729
O  0.135  0.365  0.596
V  0.500  0.500  0.248
V  0.864  0.636  0.265
V  0.364  0.864  0.265
O  0.086  0.186  0.158
O  0.500  0.000  0.166
O  0.686  0.586  0.158
O  0.314  0.414  0.158
O  0.500  0.500  0.564
V  0.136  0.364  0.265
O  0.000  0.500  0.166
V  0.636  0.136  0.265
O  0.718  0.782  0.729
O  0.365  0.865  0.596

---

# 8
Crystalline VO at its relaxed geometry, computed with PBE with a Hubbard U.

a b c (Å): 6.996 3.811 5.037
angles (deg): 90.00 90.00 90.00
Atoms (fractional coordinates):
O  0.208  0.398  0.739
V  0.797  0.897  0.911
V  0.703  0.103  0.411
V  0.297  0.103  0.411
O  0.292  0.602  0.239
V  0.203  0.897  0.911
O  0.000  0.045  0.237
V  0.000  0.578  0.464
O  0.708  0.602  0.239
O  0.500  0.955  0.737
V  0.500  0.422  0.964
O  0.792  0.398  0.739

---

# 9
Crystalline VO at its relaxed geometry, computed with PBE with a Hubbard U.

a b c (Å): 3.152 3.152 3.153
angles (deg): 119.99 60.00 120.00
Atoms (fractional coordinates):
O  0.082  0.914  0.490
V  0.582  0.414  0.990

---

# 10
Crystalline VO at its relaxed geometry, computed with PBE with a Hubbard U.

a b c (Å): 6.311 6.311 6.311
angles (deg): 90.00 90.00 90.00
Atoms (fractional coordinates):
O  0.317  0.683  0.317
V  0.365  0.365  0.365
O  0.683  0.683  0.683
O  0.317  0.317  0.683
V  0.135  0.865  0.135
V  0.865  0.135  0.135
O  0.183  0.817  0.817
O  0.683  0.317  0.317
V  0.365  0.635  0.635
O  0.817  0.183  0.817
V  0.135  0.135  0.865
V  0.635  0.365  0.635
O  0.817  0.817  0.183
O  0.183  0.183  0.183
V  0.635  0.635  0.365
V  0.865  0.865  0.865

---

# 11
Crystalline VO at its relaxed geometry, computed with PBE with a Hubbard U.

a b c (Å): 8.550 8.550 3.042
angles (deg): 90.00 90.00 90.00
Atoms (fractional coordinates):
O  0.754  0.881  0.500
O  0.381  0.746  0.000
V  0.817  0.398  0.000
V  0.183  0.602  0.000
V  0.683  0.102  0.500
V  0.317  0.898  0.500
O  0.119  0.754  0.500
O  0.619  0.254  0.000
V  0.898  0.683  0.500
O  0.881  0.246  0.500
V  0.602  0.817  0.000
V  0.102  0.317  0.500
O  0.254  0.381  0.000
O  0.746  0.619  0.000
O  0.246  0.119  0.500
V  0.398  0.183  0.000

---

# 12
Crystalline VW4O12 at its relaxed geometry, computed with PBE with a Hubbard U.

a b c (Å): 6.584 6.584 6.584
angles (deg): 111.85 108.29 108.29
Atoms (fractional coordinates):
W  0.500  0.500  0.500
O  0.608  0.804  0.804
O  0.765  0.679  0.444
O  0.235  0.679  0.914
O  0.763  0.442  0.679
V  0.000  0.500  0.500
O  0.765  0.321  0.086
O  0.000  0.804  0.196
O  0.237  0.916  0.679
O  0.000  0.196  0.804
W  0.500  0.000  0.000
O  0.237  0.558  0.321
O  0.392  0.196  0.196
O  0.763  0.084  0.321
O  0.235  0.321  0.556
W  0.000  0.000  0.500
W  0.000  0.500  0.000

---

Per-record final energy, eV per atom: -7.594, -7.493, -7.548, -7.367, -7.163, -5.867, -6.464, -7.320, -7.774, -6.901, -7.458, -7.558